! DyHfAs2 (PBE-GGA, relaxed); values from VASP
! Total moment, μB/cell: 0.0
! ΔE_f, eV/atom: -1.258
! Relative energy among the computed polymorphs, meV per atom: 0.0
&SYSTEM
  ibrav = 0, nat = 4, ntyp = 3
/
ATOMIC_SPECIES
Hf 178.49 Hf.upf
As 74.92 As.upf
Dy 162.50 Dy.upf
CELL_PARAMETERS angstrom
-0.1003 -0.5869 -3.9001
3.0267 -1.7722 -1.8067
-1.8573 -6.5886 -0.9564
ATOMIC_POSITIONS crystal
Hf 0.0000 0.0000 0.0000
As 0.2556 0.2556 0.2331
As 0.7444 0.7444 0.7669
Dy 0.5000 0.5000 0.5000